The following is a DFT calculation (PBE) of an optimized crystal structure of Pu2Al3Ge3.

Lattice parameters (Å, degrees): 4.257 4.329 8.316 90.00 90.00 90.00
Fractional positions:
Pu 0.000 0.000 0.245
Pu 0.000 0.000 0.755
Al 0.000 0.500 0.500
Al 0.500 0.500 0.256
Al 0.500 0.500 0.744
Ge 0.000 0.500 0.000
Ge 0.500 0.000 0.000
Ge 0.500 0.000 0.500

* energy of formation: -0.362 eV/atom
* mass density: 8.5 g cm⁻³

The following is a DFT calculation (PBE) of an optimized crystal structure of AcLuAgOs.

Lattice parameters (Å, degrees): 5.124 5.124 5.124 60.00 60.00 60.00
Fractional positions:
Ac 0.000 0.000 0.000
Lu 0.500 0.500 0.500
Ag 0.250 0.250 0.250
Os 0.750 0.750 0.750

* energy of formation: -0.061 eV/atom
* mass density: 12.2 g cm⁻³

The following is a DFT calculation (PBE) of an optimized crystal structure of V2Ge4Ru.

Lattice parameters (Å, degrees): 7.403 7.403 5.459 110.15 110.15 23.84
Fractional positions:
V 0.243 0.243 0.242
V 0.757 0.757 0.758
Ge 0.119 0.119 0.776
Ge 0.389 0.389 0.669
Ge 0.611 0.611 0.331
Ge 0.881 0.881 0.224
Ru 0.000 0.000 0.000

* energy of formation: -0.078 eV/atom
* polymorph energy (0 for the lowest one): 0 meV/atom
* mass density: 7.2 g cm⁻³

The following is a DFT calculation (PBE) of an optimized crystal structure of Mg2InW.

Lattice parameters (Å, degrees): 2.899 2.899 9.441 90.00 90.00 90.00
Fractional positions:
Mg 0.000 0.000 0.000
Mg 0.500 0.500 0.267
In 0.500 0.500 0.734
W 0.000 0.000 0.494

* energy of formation: 0.366 eV/atom
* mass density: 7.3 g cm⁻³

The following is a DFT calculation (PBE) of an optimized crystal structure of BeRu2Br.

Lattice parameters (Å, degrees): 2.901 4.180 4.814 90.00 90.00 90.00
Fractional positions:
Be 0.000 0.000 0.000
Ru 0.000 0.500 0.500
Ru 0.500 0.500 0.000
Br 0.500 0.000 0.500

* polymorph energy (0 for the lowest one): 497 meV/atom
* uncorrected formation energy: 0.82 eV per atom
* mass density: 8.3 g cm⁻³

The following is a DFT calculation (PBE) of an optimized crystal structure of TbHo2Tm.

Lattice parameters (Å, degrees): 11.520 11.520 11.520 17.71 17.71 17.71
Fractional positions:
Tb 0.000 0.000 0.000
Ho 0.167 0.167 0.167
Ho 0.750 0.750 0.750
Tm 0.583 0.583 0.583

* energy of formation: 0.012 eV/atom
* polymorph energy (0 for the lowest one): 10 meV/atom
* mass density: 8.8 g cm⁻³

The following is a DFT calculation (PBE) of an optimized crystal structure of TiCN3.

Lattice parameters (Å, degrees): 3.325 3.325 3.325 90.00 90.00 90.00
Fractional positions:
Ti 0.000 0.000 0.000
C 0.500 0.500 0.500
N 0.000 0.500 0.500
N 0.500 0.000 0.500
N 0.500 0.500 0.000

* uncorrected formation energy: 1.40 eV per atom
* mass density: 4.6 g cm⁻³

The following is a DFT calculation (PBE) of an optimized crystal structure of TaVZn3.

Lattice parameters (Å, degrees): 4.516 4.516 4.516 90.00 90.00 90.00
Fractional positions:
Ta 0.000 0.000 0.000
V 0.500 0.500 0.500
Zn 0.000 0.500 0.500
Zn 0.500 0.000 0.500
Zn 0.500 0.500 0.000

* energy of formation: 1.288 eV/atom
* polymorph energy (0 for the lowest one): 0 meV/atom
* mass density: 7.7 g cm⁻³

Going through the records in order, we get VASP energy values of -7.0800 -5.7387 -6.6466 -4.3537 -5.1703 -4.5521 -7.0159 -3.6704 eV/atom.